Entry 1:
# LaRe2As, relaxed, DFT PBE
# * crystal system: monoclinic
# * formation energy: 0.1 eV/f.u.
# * energy: -34.40 eV/cell
data_LaRe2As
_space_group_name_H-M_alt 'P 1 m 1'
_space_group_IT_number 6
_space_group_name_Hall 'P -2y'
_cell_length_a 3.330
_cell_length_b 4.155
_cell_length_c 5.981
_cell_angle_alpha 90.00
_cell_angle_beta 91.11
_cell_angle_gamma 90.00
loop_
_atom_site_label
_atom_site_fract_x
_atom_site_fract_y
_atom_site_fract_z
La1 0.000 0.000 0.000
Re1 0.512 0.000 0.458
Re2 0.978 0.500 0.424
As1 0.489 0.500 0.743



Entry 2:
# Cs2TiCdO4, relaxed, DFT PBE
# * crystal system: orthorhombic
# * formation energy without anion corrections: -1469 kJ/mol of formula units
# * energy: -364.58 eV/cell
data_Cs2TiCdO4
_space_group_name_H-M_alt 'F d d d'
_space_group_IT_number 70
_cell_length_a 5.508
_cell_length_b 12.883
_cell_length_c 22.279
_cell_angle_alpha 90.00
_cell_angle_beta 90.00
_cell_angle_gamma 90.00
loop_
_space_group_symop_operation_xyz
'x,y,z'
'-x,-y,-z'
'-x+1/4,-y+1/4,z'
'x+1/4,y+1/4,-z'
'x,-y+1/4,-z+1/4'
'-x,y+1/4,z+1/4'
'-x+1/4,y,-z+1/4'
'x+1/4,-y,z+1/4'
'x,y+1/2,z+1/2'
'-x,-y+1/2,-z+1/2'
'-x+1/4,-y+3/4,z+1/2'
'x+1/4,y+3/4,-z+1/2'
'x,-y+3/4,-z+3/4'
'-x,y+3/4,z+3/4'
'-x+1/4,y+1/2,-z+3/4'
'x+1/4,-y+1/2,z+3/4'
'x+1/2,y,z+1/2'
'-x+1/2,-y,-z+1/2'
'-x+3/4,-y+1/4,z+1/2'
'x+3/4,y+1/4,-z+1/2'
'x+1/2,-y+1/4,-z+3/4'
'-x+1/2,y+1/4,z+3/4'
'-x+3/4,y,-z+3/4'
'x+3/4,-y,z+3/4'
'x+1/2,y+1/2,z'
'-x+1/2,-y+1/2,-z'
'-x+3/4,-y+3/4,z'
'x+3/4,y+3/4,-z'
'x+1/2,-y+3/4,-z+1/4'
'-x+1/2,y+3/4,z+1/4'
'-x+3/4,y+1/2,-z+1/4'
'x+3/4,-y+1/2,z+1/4'
loop_
_atom_site_label
_atom_site_fract_x
_atom_site_fract_y
_atom_site_fract_z
Cs1 0.125 0.125 0.300
Ti1 0.125 0.125 0.625
Cd1 0.125 0.125 0.125
O1 0.078 0.291 0.830